## ScZn2P (PBE)

Data for a relaxed structure of ScZn2P.

## Properties
The symmetry is Amm2 (38). Its energy is -16.30 eV/cell. The value obtained for the calculated volume is 69 Å³ per cell. The calculation puts the energy of formation from the pure elements at -0.50 eV/atom.

abc: 5.663 5.663 3.506
angles: 90.00 90.00 141.96
Fractional coordinates of all 4 atoms:
1 Sc 0.405 0.595 0.500
2 Zn 0.083 0.917 0.000
3 Zn 0.672 0.328 0.500
4 P 0.849 0.151 0.000